1.
An optimized crystal structure of Sr3Ge2Au3. Source: Alexandria, functional PBE. Values from VASP.

Structure (Quantum ESPRESSO input):
```
&SYSTEM
  ibrav = 0, nat = 16, ntyp = 3
/
ATOMIC_SPECIES
Sr 87.62 Sr.upf
Ge 72.64 Ge.upf
Au 196.97 Au.upf
CELL_PARAMETERS angstrom
2.2690 -5.6915 0.0000
2.2690 5.6915 0.0000
0.0000 0.0000 17.2457
ATOMIC_POSITIONS angstrom
Sr 2.2690 5.0535 12.9343
Sr 2.2690 1.5641 10.0173
Sr 2.2690 1.5641 15.8513
Sr 2.2690 -1.5641 1.3945
Sr 2.2690 -1.5641 7.2284
Sr 2.2690 -5.0535 4.3114
Ge 2.2690 1.7214 2.0543
Ge 2.2690 1.7214 6.5686
Ge 2.2690 -1.7214 10.6772
Ge 2.2690 -1.7214 15.1914
Au 2.2690 4.7825 9.6821
Au 2.2690 4.7825 16.1865
Au 2.2690 3.0300 4.3114
Au 2.2690 -3.0300 12.9343
Au 2.2690 -4.7825 1.0593
Au 2.2690 -4.7825 7.5636
```

Values from the calculation:
**Size of the total moment**: 0.000 μB per formula unit
**Total DFT energy (no corrections)**: -3.676 eV per atom
**Density**: 7.45 g/cm3
**Energy of formation**: -0.662 eV per atom
**SG**: No. 63

=====

2.
An optimized crystal structure of Sr2GeAu2. Source: Alexandria, functional PBE. Values from VASP.

Structure (Quantum ESPRESSO input):
```
&SYSTEM
  ibrav = 0, nat = 10, ntyp = 3
/
ATOMIC_SPECIES
Sr 87.62 Sr.upf
Ge 72.64 Ge.upf
Au 196.97 Au.upf
CELL_PARAMETERS angstrom
8.7050 0.0000 0.0000
0.0000 8.7050 0.0000
0.0000 0.0000 3.8688
ATOMIC_POSITIONS angstrom
Sr 1.5109 2.8416 0.0000
Sr 2.8416 7.1941 0.0000
Sr 5.8634 1.5109 0.0000
Sr 7.1941 5.8634 0.0000
Ge 0.0000 0.0000 0.0000
Ge 4.3525 4.3525 0.0000
Au 1.0393 5.3918 1.9344
Au 3.3132 1.0393 1.9344
Au 5.3918 7.6657 1.9344
Au 7.6657 3.3132 1.9344
```

Values from the calculation:
**Size of the total moment**: 0.000 μB per formula unit
**Total DFT energy (no corrections)**: -3.290 eV per atom
**Density**: 7.27 g/cm3
**Energy of formation**: -0.383 eV per atom
**SG**: No. 127

=====

3.
An optimized crystal structure of SrGeAu3. Source: Alexandria, functional PBE. Values from VASP.

Structure (Quantum ESPRESSO input):
```
&SYSTEM
  ibrav = 0, nat = 5, ntyp = 3
/
ATOMIC_SPECIES
Sr 87.62 Sr.upf
Ge 72.64 Ge.upf
Au 196.97 Au.upf
CELL_PARAMETERS angstrom
5.0323 0.0000 0.0000
0.0000 5.0323 0.0000
0.0000 0.0000 5.0323
ATOMIC_POSITIONS angstrom
Sr 0.0000 0.0000 0.0000
Ge 2.5161 2.5161 2.5161
Au 0.0000 2.5161 2.5161
Au 2.5161 0.0000 2.5161
Au 2.5161 2.5161 0.0000
```

Values from the calculation:
**Size of the total moment**: 0.000 μB per formula unit
**Total DFT energy (no corrections)**: -3.595 eV per atom
**Density**: 9.79 g/cm3
**Energy of formation**: -0.369 eV per atom
**SG**: No. 221